Entry from Alexandria via LeMat-Bulk: a relaxed CsKTlAg crystal (PBE).

It has space group Cm (No. 8), with a = 8.9266 Å, b = 5.1520 Å, c = 8.9666 Å, α = 90.00°, β = 109.46° and γ = 90.00°. The distinct sites, in fractional coordinates, are Cs at (0.0000, 0.0000, 0.0000), K at (0.1832, 0.0000, 0.5472), Tl at (0.2686, 0.5000, 0.3047) and Ag at (0.4356, 0.0000, 0.3056).

Its formation energy is -0.26 kcal/mol of atoms. The calculation puts the energy at -1.8034 eV/atom. Its total magnetization is 0.00 μB/atom. The calculation puts the density of states at the Fermi level at 5.3 states/eV per cell. Its mass density is 4.14 Mg/m³.

---

Entry from Alexandria via LeMat-Bulk: a relaxed Cs2KZnAg crystal (PBE).

It has space group P4/mmm (No. 123), with a = 7.2954 Å, b = 7.2954 Å, c = 5.2907 Å, α = 90.00°, β = 90.00° and γ = 90.00°. The distinct sites, in fractional coordinates, are Cs at (0.0000, 0.5000, 0.0000), K at (0.0000, 0.0000, 0.5000), Zn at (0.5000, 0.5000, 0.5000) and Ag at (0.5000, 0.5000, 0.0000).

Its formation energy is 3.00 kcal/mol of atoms. The calculation puts the energy at -1.2559 eV/atom. Its total magnetization is 0.00 μB/atom. The polymorph energy (0 for the lowest one) is 0 meV per atom. The calculation puts the density of states at the Fermi level at 5.5 states/eV per cell. Its mass density is 2.82 Mg/m³.

---

Entry from Alexandria via LeMat-Bulk: a relaxed CsLaAg2 crystal (PBE).

It has space group I-42d (No. 122), with a = 8.8391 Å, b = 8.8391 Å, c = 7.8876 Å, α = 90.00°, β = 90.00° and γ = 90.00°. The distinct sites, in fractional coordinates, are Cs at (0.0000, 0.0000, 0.0000), La at (0.0000, 0.0000, 0.5000) and Ag at (0.2103, 0.7500, 0.6250).

Its formation energy is 7.82 kcal/mol of atoms. The calculation puts the energy at -2.5316 eV/atom. Its total magnetization is 0.00 μB/atom. The calculation puts the density of states at the Fermi level at 20.3 states/eV per cell. Its mass density is 5.25 Mg/m³.

---

Entry from Alexandria via LeMat-Bulk: a relaxed CsLa3Ag crystal (PBE).

It has space group Pm-3m (No. 221), with a = 6.0962 Å, b = 6.0962 Å, c = 6.0962 Å, α = 90.00°, β = 90.00° and γ = 90.00°. The distinct sites, in fractional coordinates, are Cs at (0.0000, 0.0000, 0.0000), La at (0.0000, 0.5000, 0.5000) and Ag at (0.5000, 0.5000, 0.5000).

Its formation energy is 8.58 kcal/mol of atoms. The calculation puts the energy at -3.3254 eV/atom. Its total magnetization is 0.36 μB/atom. The polymorph energy (0 for the lowest one) is 0 meV per atom. The calculation puts the density of states at the Fermi level at 7.3 states/eV per cell. Its mass density is 4.82 Mg/m³.

---

Entry from Alexandria via LeMat-Bulk: a relaxed CsLa2Ag2 crystal (PBE).

It has space group P4/mbm (No. 127), with a = 9.3803 Å, b = 9.3803 Å, c = 3.6716 Å, α = 90.00°, β = 90.00° and γ = 90.00°. The distinct sites, in fractional coordinates, are Cs at (0.0000, 0.0000, 0.0000), La at (0.1302, 0.3698, 0.0000) and Ag at (0.1588, 0.6588, 0.5000).

Its formation energy is 1.22 kcal/mol of atoms. The calculation puts the energy at -3.2294 eV/atom. Its total magnetization is 0.00 μB/atom. The polymorph energy (0 for the lowest one) is 0 meV per atom. The calculation puts the density of states at the Fermi level at 9.8 states/eV per cell. Its mass density is 6.44 Mg/m³.

---

Entry from Alexandria via LeMat-Bulk: a relaxed CsLa2Ag2 crystal (PBE).

It has space group I4/mmm (No. 139), with a = 5.2278 Å, b = 5.2278 Å, c = 13.4874 Å, α = 90.00°, β = 90.00° and γ = 90.00°. The distinct sites, in fractional coordinates, are Cs at (0.0000, 0.0000, 0.0000), La at (0.0000, 0.5000, 0.2500) and Ag at (0.0000, 0.0000, 0.3913).

Its formation energy is 2.91 kcal/mol of atoms. The calculation puts the energy at -3.1558 eV/atom. Its total magnetization is 0.00 μB/atom. The polymorph energy (0 for the lowest one) is 74 meV per atom. The calculation puts the density of states at the Fermi level at 16.8 states/eV per cell. Its mass density is 5.64 Mg/m³.

---

Entry from Alexandria via LeMat-Bulk: a relaxed CsLa3Ag crystal (PBE).

It has space group Pm-3m (No. 221), with a = 5.8883 Å, b = 5.8883 Å, c = 5.8883 Å, α = 90.00°, β = 90.00° and γ = 90.00°. The distinct sites, in fractional coordinates, are Cs at (0.0000, 0.0000, 0.0000), La at (0.0000, 0.0000, 0.5000) and Ag at (0.5000, 0.5000, 0.5000).

Its formation energy is 24.31 kcal/mol of atoms. The calculation puts the energy at -2.6430 eV/atom. Its total magnetization is 0.00 μB/atom. The polymorph energy (0 for the lowest one) is 682 meV per atom. The calculation puts the density of states at the Fermi level at 18.5 states/eV per cell. Its mass density is 5.35 Mg/m³.

---

Entry from Alexandria via LeMat-Bulk: a relaxed CsLaAg2 crystal (PBE).

It has space group P4/mmm (No. 123), with a = 4.0522 Å, b = 4.0522 Å, c = 8.7316 Å, α = 90.00°, β = 90.00° and γ = 90.00°. The distinct sites, in fractional coordinates, are Cs at (0.0000, 0.0000, 0.0000), La at (0.0000, 0.0000, 0.5000) and Ag at (0.5000, 0.5000, 0.3285).

Its formation energy is -1.61 kcal/mol of atoms. The calculation puts the energy at -2.9409 eV/atom. Its total magnetization is 0.00 μB/atom. The calculation puts the density of states at the Fermi level at 2.4 states/eV per cell. Its mass density is 5.65 Mg/m³.